1.
A plane-wave DFT calculation with PBE was carried out for a relaxed Ce2Ti3Si4 crystal.

Summary:
Energy relative to the elements, uncorrected = -71.77 kJ/mol of atoms
Size of the total moment = 0.001 μB per cell
V = 329 Å³ per cell

Cell lengths 6.982, 7.079, 7.052 Å; angles 90.00, 90.00, 109.40 degrees
Element x y z (fractional)
Ce  0.937  0.819  0.841
Ce  0.563  0.181  0.341
Ce  0.063  0.181  0.159
Ce  0.437  0.819  0.659
Ti  0.249  0.743  0.173
Ti  0.500  0.500  0.000
Ti  0.251  0.257  0.673
Ti  0.749  0.743  0.327
Ti  0.751  0.257  0.827
Ti  0.000  0.500  0.500
Si  0.623  0.910  0.042
Si  0.132  0.506  0.871
Si  0.368  0.494  0.371
Si  0.632  0.506  0.629
Si  0.868  0.494  0.129
Si  0.877  0.090  0.542
Si  0.377  0.090  0.958
Si  0.123  0.910  0.458

=====

2.
A plane-wave DFT calculation with PBE was carried out for a relaxed Ac3InHg5 crystal.

Summary:
Size of the total moment = 0.000 μB per cell
ΔH_f (0 K) = -461 meV per atom
V = 549 Å³ per cell

Cell lengths 6.758, 9.684, 9.683 Å; angles 120.00, 90.00, 90.00 degrees
Element x y z (fractional)
Ac  0.250  0.000  0.354
Ac  0.250  0.646  0.646
Ac  0.750  0.000  0.646
Ac  0.250  0.354  0.000
Ac  0.750  0.354  0.354
Ac  0.750  0.646  0.000
In  0.000  0.000  0.000
In  0.500  0.000  0.000
Hg  0.750  0.000  0.308
Hg  0.250  0.000  0.692
Hg  0.250  0.308  0.308
Hg  0.500  0.333  0.667
Hg  0.000  0.667  0.333
Hg  0.000  0.333  0.667
Hg  0.500  0.667  0.333
Hg  0.750  0.308  0.000
Hg  0.250  0.692  0.000
Hg  0.750  0.692  0.692

=====

3.
A plane-wave DFT calculation with PBE was carried out for a relaxed Th4Bi2RuN2 crystal.

Summary:
Energy relative to the elements, uncorrected = -98.32 kJ/mol of atoms
Size of the total moment = 0.000 μB per cell
V = 232 Å³ per cell

Cell lengths 4.095, 7.632, 8.168 Å; angles 109.43, 104.52, 90.00 degrees
Element x y z (fractional)
Bi  0.867  0.465  0.734
Bi  0.133  0.535  0.266
Th  0.207  0.154  0.413
Th  0.466  0.221  0.932
Th  0.534  0.779  0.068
Th  0.793  0.846  0.587
Ru  0.000  0.000  0.000
N  0.681  0.987  0.362
N  0.319  0.013  0.638

=====

4.
A plane-wave DFT calculation with PBE was carried out for a relaxed AcNiN crystal.

Summary:
Energy relative to the elements, uncorrected = -46.58 kJ/mol of atoms
Size of the total moment = 0.000 μB per cell
Energy above the lowest structure with this stoichiometry = 243 meV/atom
V = 206 Å³ per cell

Cell lengths 3.499, 6.115, 9.607 Å; angles 90.00, 90.00, 90.00 degrees
Element x y z (fractional)
Ni  0.250  0.628  0.045
Ni  0.750  0.372  0.955
Ni  0.250  0.872  0.545
Ni  0.750  0.128  0.455
N  0.750  0.713  0.591
N  0.750  0.787  0.091
N  0.250  0.213  0.909
N  0.250  0.287  0.409
Ac  0.250  0.080  0.167
Ac  0.750  0.580  0.333
Ac  0.250  0.420  0.667
Ac  0.750  0.920  0.833

=====

5.
A plane-wave DFT calculation with PBE was carried out for a relaxed Tb3Ni3Sn4 crystal.

Summary:
Size of the total moment = 0.000 μB per cell
ΔH_f (0 K) = -576 meV per atom
V = 434 Å³ per cell

Cell lengths 8.261, 8.261, 8.261 Å; angles 109.47, 109.47, 109.47 degrees
Element x y z (fractional)
Ni  0.625  0.875  0.250
Ni  0.375  0.250  0.125
Ni  0.125  0.750  0.375
Ni  0.875  0.625  0.750
Ni  0.750  0.125  0.875
Ni  0.250  0.375  0.625
Tb  0.250  0.875  0.125
Tb  0.750  0.625  0.375
Tb  0.125  0.375  0.250
Tb  0.375  0.125  0.750
Tb  0.625  0.750  0.875
Tb  0.875  0.250  0.625
Sn  0.149  0.649  0.649
Sn  0.000  0.000  0.851
Sn  0.851  0.500  0.000
Sn  0.649  0.149  0.149
Sn  0.500  0.351  0.500
Sn  0.351  0.500  0.000
Sn  0.000  0.000  0.351
Sn  0.500  0.851  0.500

=====

6.
A plane-wave DFT calculation with PBE was carried out for a relaxed SrTc2P crystal.

Summary:
Size of the total moment = 2.024 μB per cell
Energy above the lowest structure with this stoichiometry = 1062 meV/atom
ΔH_f (0 K) = 791 meV per atom
V = 66 Å³ per cell

Cell lengths 4.537, 4.537, 4.537 Å; angles 60.00, 60.00, 60.00 degrees
Element x y z (fractional)
Sr  0.500  0.500  0.500
Tc  0.750  0.750  0.750
Tc  0.250  0.250  0.250
P  0.000  0.000  0.000

=====

What is the formula in the third record?
Th4Bi2RuN2